## Pa2ReSb (PBE)

Data for a relaxed structure of Pa2ReSb.

extended XYZ file:
```
4
Lattice="3.263 0.000 0.000 0.000 3.263 0.000 0.000 0.000 8.585" Properties=species:S:1:pos:R:3 pbc="T T T"
Pa 0.000 0.000 1.857
Pa 0.000 0.000 6.728
Re 1.631 1.631 0.000
Sb 1.631 1.631 4.292
```

Output
E (eV per atom): -9.17
DOS(E_F) (states/eV per cell): 4.765